Below is LaScAg2 after structural relaxation, with properties calculated at the GGA-PBEsol level.

E above lowest polymorph   0.00 kJ/mol of atoms
DOS at the Fermi energy   3.6 states/eV/f.u.
Total moment   0.00 Bohr magnetons per cell
Energy of formation   -0.193 eV/atom
VASP energy   -4.836 eV/atom
Crystal system   orthorhombic

abc: 3.415 5.027 5.256
angles: 90.00 90.00 90.00
Space group Pmm2 (No. 25)
One atom of each set of equivalent atoms:
La 0.000 0.000 0.000 x1
Sc 0.000 0.500 0.442 x1
Ag 0.500 0.000 0.511 x1
Ag 0.500 0.500 0.885 x1

Below is LaScAg after structural relaxation, with properties calculated at the GGA-PBEsol level.

E above lowest polymorph   48.48 kJ/mol of atoms
DOS at the Fermi energy   3.2 states/eV/f.u.
Total moment   0.00 Bohr magnetons per cell
Energy of formation   0.378 eV/atom
VASP energy   -4.709 eV/atom
Crystal system   cubic

abc: 6.773 6.773 6.773
angles: 90.00 90.00 90.00
Space group F-43m (No. 216)
One atom of each set of equivalent atoms:
La 0.000 0.000 0.000 x4
Sc 0.250 0.250 0.250 x4
Ag 0.000 0.000 0.500 x4

Below is LaScAg2 after structural relaxation, with properties calculated at the GGA-PBEsol level.

E above lowest polymorph   0.62 kJ/mol of atoms
DOS at the Fermi energy   3.7 states/eV/f.u.
Total moment   0.00 Bohr magnetons per cell
Energy of formation   -0.186 eV/atom
VASP energy   -4.830 eV/atom
Crystal system   orthorhombic

abc: 7.257 7.270 3.450
angles: 90.00 90.00 90.00
Space group Cmmm (No. 65)
One atom of each set of equivalent atoms:
La 0.000 0.000 0.000 x2
Sc 0.000 0.500 0.000 x2
Ag 0.250 0.250 0.500 x4

Below is LaSc2Ag2 after structural relaxation, with properties calculated at the GGA-PBEsol level.

E above lowest polymorph   3.28 kJ/mol of atoms
DOS at the Fermi energy   6.5 states/eV/f.u.
Total moment   0.01 Bohr magnetons per cell
Energy of formation   -0.104 eV/atom
VASP energy   -5.139 eV/atom
Crystal system   tetragonal

abc: 4.638 4.638 11.262
angles: 90.00 90.00 90.00
Space group I4/mmm (No. 139)
One atom of each set of equivalent atoms:
La 0.000 0.000 0.000 x2
Sc 0.000 0.500 0.250 x4
Ag 0.000 0.000 0.384 x4

Below is La2ScAg after structural relaxation, with properties calculated at the GGA-PBEsol level.

E above lowest polymorph   9.95 kJ/mol of atoms
DOS at the Fermi energy   4.8 states/eV/f.u.
Total moment   0.00 Bohr magnetons per cell
Energy of formation   0.009 eV/atom
VASP energy   -5.143 eV/atom
Crystal system   orthorhombic

abc: 3.714 5.363 10.612
angles: 90.00 90.00 90.00
Space group Immm (No. 71)
One atom of each set of equivalent atoms:
La 0.000 0.000 0.233 x4
Sc 0.000 0.500 0.000 x2
Ag 0.000 0.500 0.500 x2

Below is LaSc2Ag after structural relaxation, with properties calculated at the GGA-PBEsol level.

E above lowest polymorph   4.51 kJ/mol of atoms
DOS at the Fermi energy   6.6 states/eV/f.u.
Total moment   0.00 Bohr magnetons per cell
Energy of formation   -0.053 eV/atom
VASP energy   -5.520 eV/atom
Crystal system   orthorhombic

abc: 3.424 5.335 10.762
angles: 90.00 90.00 90.00
Space group Immm (No. 71)
One atom of each set of equivalent atoms:
La 0.000 0.000 0.000 x2
Sc 0.000 0.500 0.220 x4
Ag 0.000 0.000 0.500 x2

Below is La3ScAg after structural relaxation, with properties calculated at the GGA-PBEsol level.

DOS at the Fermi energy   13.6 states/eV/f.u.
Total moment   0.00 Bohr magnetons per cell
Energy of formation   0.469 eV/atom
VASP energy   -4.722 eV/atom
Crystal system   cubic

abc: 5.704 5.704 5.704
angles: 90.00 90.00 90.00
Space group Pm-3m (No. 221)
One atom of each set of equivalent atoms:
La 0.000 0.000 0.500 x3
Sc 0.500 0.500 0.500 x1
Ag 0.000 0.000 0.000 x1

Below is LaScAg2 after structural relaxation, with properties calculated at the GGA-PBEsol level.

E above lowest polymorph   0.01 kJ/mol of atoms
DOS at the Fermi energy   3.6 states/eV/f.u.
Total moment   0.00 Bohr magnetons per cell
Energy of formation   -0.193 eV/atom
VASP energy   -4.836 eV/atom
Crystal system   orthorhombic

abc: 5.069 5.080 7.170
angles: 90.00 90.00 90.00
Space group Immm (No. 71)
One atom of each set of equivalent atoms:
La 0.000 0.000 0.000 x2
Sc 0.000 0.000 0.500 x2
Ag 0.000 0.500 0.249 x4